(1)
# Sr2LaSi

An optimized crystal structure of Sr2LaSi (PBE, Alexandria).

Calculated values
E_form (uncorrected)	0.19	eV per atom
calculated density	4.18	g/cm3

Unit cell a=6.2170 b=6.2170 c=3.8038 alpha=89.79 beta=89.79 gamma=112.42
Fractional coordinates of all 4 atoms:
Si: 0.0000 0.5000 0.5000
La: 0.5000 0.0000 0.5000
Sr: 0.0000 0.0000 0.0000
Sr: 0.5000 0.5000 0.0000


(2)
# CsAlNi3

An optimized crystal structure of CsAlNi3 (PBE, Alexandria).

Calculated values
energy relative to the lowest polymorph listed for this composition	1.217	eV per atom
formation enthalpy at 0 K	1.973	eV per atom
calculated density	4.97	g/cm3

Unit cell a=4.8236 b=4.8236 c=4.8236 alpha=90.00 beta=90.00 gamma=90.00
Fractional coordinates of all 5 atoms:
Ni: 0.5000 0.0000 0.0000
Ni: 0.0000 0.0000 0.5000
Ni: 0.0000 0.5000 0.0000
Cs: 0.0000 0.0000 0.0000
Al: 0.5000 0.5000 0.5000


(3)
# TiBiNF2

An optimized crystal structure of TiBiNF2 (PBE, Alexandria).

Calculated values
E_form (uncorrected)	-1.37	eV per atom
energy relative to the lowest polymorph listed for this composition	0.000	eV per atom
calculated density	7.36	g/cm3

Unit cell a=4.1386 b=4.1386 c=4.0680 alpha=90.00 beta=90.00 gamma=90.00
Fractional coordinates of all 5 atoms:
Bi: 0.5000 0.5000 0.5000
F: 0.0000 0.5000 0.0000
F: 0.5000 0.0000 0.0000
Ti: 0.0000 0.0000 0.0000
N: 0.0000 0.0000 0.5000


(4)
# Pa2GaCu4Si3

An optimized crystal structure of Pa2GaCu4Si3 (PBE, Alexandria).

Calculated values
E_form (uncorrected)	-0.39	eV per atom
calculated density	8.95	g/cm3

Unit cell a=4.0843 b=4.0843 c=9.6805 alpha=90.00 beta=90.00 gamma=90.00
Fractional coordinates of all 10 atoms:
Ga: 0.5000 0.5000 0.5000
Si: 0.0000 0.0000 0.5000
Si: 0.0000 0.5000 0.1321
Si: 0.5000 0.0000 0.8679
Cu: 0.0000 0.5000 0.3677
Cu: 0.5000 0.5000 0.0000
Cu: 0.5000 0.0000 0.6323
Cu: 0.0000 0.0000 0.0000
Pa: 0.5000 0.0000 0.2448
Pa: 0.0000 0.5000 0.7552


(5)
# Tm2FeC2

An optimized crystal structure of Tm2FeC2 (PBE, Alexandria).

Calculated values
energy relative to the lowest polymorph listed for this composition	0.004	eV per atom
formation enthalpy at 0 K	-0.324	eV per atom
calculated density	9.49	g/cm3

Unit cell a=4.9464 b=6.1941 c=9.5450 alpha=90.00 beta=90.00 gamma=90.00
Fractional coordinates of all 20 atoms:
Tm: 0.2500 0.3181 0.4449
Tm: 0.2500 0.9804 0.7169
Tm: 0.7500 0.1819 0.9449
Tm: 0.7500 0.0196 0.2831
Tm: 0.2500 0.4804 0.7831
Tm: 0.7500 0.6819 0.5551
Tm: 0.2500 0.8181 0.0551
Tm: 0.7500 0.5196 0.2169
C: 0.2500 0.1896 0.9575
C: 0.7500 0.8104 0.0425
C: 0.2500 0.6896 0.5425
C: 0.2500 0.5362 0.2390
C: 0.7500 0.4638 0.7610
C: 0.7500 0.9638 0.7390
C: 0.7500 0.3104 0.4575
C: 0.2500 0.0362 0.2610
Fe: 0.2500 0.2715 0.1430
Fe: 0.7500 0.2285 0.6430
Fe: 0.2500 0.7715 0.3570
Fe: 0.7500 0.7285 0.8570


(6)
# Li2MgPdN

An optimized crystal structure of Li2MgPdN (PBE, Alexandria).

Calculated values
E_form (uncorrected)	-0.29	eV per atom
calculated density	3.96	g/cm3

Unit cell a=3.9995 b=3.9995 c=4.1556 alpha=90.00 beta=90.00 gamma=90.00
Fractional coordinates of all 5 atoms:
Li: 0.0000 0.5000 0.0000
Li: 0.5000 0.0000 0.0000
Pd: 0.5000 0.5000 0.5000
N: 0.0000 0.0000 0.0000
Mg: 0.0000 0.0000 0.5000